Entry 1:
Compound: K2Pa2RhS6
Source: the Alexandria database
Functional: PBE
Structure: optimized geometry

Cell: 6.7175 6.7175 7.9032 Å, 97.54 97.54 120.84°
Fractional coordinates of all 11 atoms:
K 0.1609 0.8391 0.0000
K 0.8391 0.1609 0.0000
Pa 0.3352 0.6648 0.5000
Pa 0.6648 0.3352 0.5000
Rh 0.0000 0.0000 0.5000
S 0.0614 0.4019 0.6968
S 0.2613 0.2613 0.3089
S 0.4019 0.0614 0.6968
S 0.5981 0.9386 0.3032
S 0.7387 0.7387 0.6911
S 0.9386 0.5981 0.3032

Computed properties:
Raw total energy: -67.5 eV per formula unit
E_form (uncorrected): -1.288 eV/atom
N(E_F): 0.64 states/eV per atom
Magnetization: 0.85 μB per cell

***

Entry 2:
Compound: Al2Te3
Source: the Alexandria database
Functional: PBE
Structure: optimized geometry

Cell: 8.4699 8.4699 10.6828 Å, 105.92 105.92 26.71°
Fractional coordinates of all 10 atoms:
Al 0.0701 0.0701 0.4643
Al 0.3893 0.3893 0.1930
Al 0.6107 0.6107 0.8070
Al 0.9299 0.9299 0.5357
Te 0.1597 0.1597 0.9764
Te 0.3205 0.3205 0.3868
Te 0.4443 0.4443 0.7341
Te 0.5557 0.5557 0.2659
Te 0.6795 0.6795 0.6132
Te 0.8403 0.8403 0.0236

Computed properties:
Raw total energy: -18.2 eV per formula unit
E_form (uncorrected): -0.257 eV/atom
N(E_F): 0.46 states/eV per atom
Magnetization: 0.00 μB per cell

***

Entry 3:
Compound: AcZn2SiRh4
Source: the Alexandria database
Functional: PBE
Structure: optimized geometry

Cell: 8.7960 8.7960 8.7960 Å, 28.22 28.22 28.22°
Fractional coordinates of all 8 atoms:
Ac 0.0000 0.0000 0.0000
Zn 0.2395 0.2395 0.2395
Zn 0.7605 0.7605 0.7605
Si 0.5000 0.5000 0.5000
Rh 0.1356 0.1356 0.1356
Rh 0.4061 0.4061 0.4061
Rh 0.5939 0.5939 0.5939
Rh 0.8644 0.8644 0.8644

Computed properties:
Raw total energy: -46.3 eV per formula unit
E_form (uncorrected): -0.604 eV/atom
N(E_F): 0.29 states/eV per atom
Magnetization: 0.00 μB per cell

***

Entry 4:
Compound: NdGePdPt
Source: the Alexandria database
Functional: PBE
Structure: optimized geometry

Cell: 5.7519 5.7519 5.7519 Å, 137.20 135.86 63.17°
Fractional coordinates of all 4 atoms:
Nd 0.0000 0.0000 0.0000
Ge 0.7497 0.2497 0.5000
Pd 0.3580 0.3580 0.0000
Pt 0.6296 0.6296 0.0000

Computed properties:
Raw total energy: -23.7 eV per formula unit
N(E_F): 0.46 states/eV per atom
Magnetization: 0.00 μB per cell

***

Entry 5:
Compound: HoZr2Cd2
Source: the Alexandria database
Functional: PBE
Structure: optimized geometry

Cell: 7.7375 7.7375 7.7375 Å, 148.70 148.70 44.85°
Fractional coordinates of all 5 atoms:
Ho 0.0000 0.0000 0.0000
Zr 0.2500 0.7500 0.5000
Zr 0.7500 0.2500 0.5000
Cd 0.4033 0.4033 0.0000
Cd 0.5967 0.5967 0.0000

Computed properties:
Raw total energy: -23.2 eV per formula unit
N(E_F): 1.55 states/eV per atom
Magnetization: 0.00 μB per cell

***

Entry 6:
Compound: PrSm5Sn5
Source: the Alexandria database
Functional: PBE
Structure: optimized geometry

Cell: 7.8583 7.8583 8.6782 Å, 105.80 105.80 47.34°
Fractional coordinates of all 11 atoms:
Pr 0.0000 0.0000 0.0000
Sm 0.0000 0.0000 0.5000
Sm 0.3299 0.3299 0.1627
Sm 0.3345 0.3345 0.6657
Sm 0.6655 0.6655 0.3343
Sm 0.6701 0.6701 0.8373
Sn 0.1651 0.1651 0.8251
Sn 0.1663 0.1663 0.3385
Sn 0.5000 0.5000 0.0000
Sn 0.8337 0.8337 0.6615
Sn 0.8349 0.8349 0.1749

Computed properties:
Raw total energy: -53.6 eV per formula unit
N(E_F): 0.98 states/eV per atom
Magnetization: 0.59 μB per cell

***

Entry 7:
Compound: Zn3GeS
Source: the Alexandria database
Functional: PBE
Structure: optimized geometry

Cell: 4.7024 4.7024 4.7024 Å, 90.00 90.00 90.00°
Fractional coordinates of all 5 atoms:
Zn 0.0000 0.0000 0.5000
Zn 0.0000 0.5000 0.0000
Zn 0.5000 0.0000 0.0000
Ge 0.5000 0.5000 0.5000
S 0.0000 0.0000 0.0000

Computed properties:
Energy above the lowest structure with this stoichiometry: 0.708 eV per formula unit
Raw total energy: -10.1 eV per formula unit
E_form (uncorrected): 0.492 eV/atom
N(E_F): 0.39 states/eV per atom
Magnetization: 0.00 μB per cell

***

Entry 8:
Compound: LaY2Al2
Source: the Alexandria database
Functional: PBE
Structure: optimized geometry

Cell: 8.6045 8.6045 3.6568 Å, 90.00 90.00 90.00°
Fractional coordinates of all 10 atoms:
La 0.0000 0.0000 0.0000
La 0.5000 0.5000 0.0000
Y 0.1796 0.3204 0.5000
Y 0.3204 0.8204 0.5000
Y 0.6796 0.1796 0.5000
Y 0.8204 0.6796 0.5000
Al 0.1128 0.6128 0.0000
Al 0.3872 0.1128 0.0000
Al 0.6128 0.8872 0.0000
Al 0.8872 0.3872 0.0000

Computed properties:
Energy above the lowest structure with this stoichiometry: 0.000 eV per formula unit
Raw total energy: -26.9 eV per formula unit
N(E_F): 0.88 states/eV per atom
Magnetization: 0.00 μB per cell

***

Entry 9:
Compound: Ce2ThPbC
Source: the Alexandria database
Functional: PBE
Structure: optimized geometry

Cell: 5.0193 5.0193 5.0642 Å, 90.00 90.00 90.00°
Fractional coordinates of all 5 atoms:
Ce 0.0000 0.5000 0.0000
Ce 0.5000 0.0000 0.0000
Th 0.0000 0.0000 0.5000
Pb 0.5000 0.5000 0.5000
C 0.0000 0.0000 0.0000

Computed properties:
Raw total energy: -34.1 eV per formula unit
N(E_F): 1.75 states/eV per atom
Magnetization: 1.42 μB per cell

***

Entry 10:
Compound: CoTcRu2
Source: the Alexandria database
Functional: PBE
Structure: optimized geometry

Cell: 4.2441 4.2441 4.2441 Å, 60.00 60.00 60.00°
Fractional coordinates of all 4 atoms:
Co 0.0000 0.0000 0.0000
Tc 0.5000 0.5000 0.5000
Ru 0.2500 0.2500 0.2500
Ru 0.7500 0.7500 0.7500

Computed properties:
Energy above the lowest structure with this stoichiometry: 1.202 eV per formula unit
Raw total energy: -34.5 eV per formula unit
N(E_F): 1.42 states/eV per atom
Magnetization: 0.00 μB per cell

***

Entry 11:
Compound: MoC2
Source: the Alexandria database
Functional: PBE
Structure: optimized geometry

Cell: 3.4608 3.4608 11.5315 Å, 90.00 90.00 120.00°
Fractional coordinates of all 12 atoms:
Mo 0.3333 0.6667 0.0915
Mo 0.3333 0.6667 0.4085
Mo 0.6667 0.3333 0.5915
Mo 0.6667 0.3333 0.9085
C 0.0000 0.0000 0.0000
C 0.0000 0.0000 0.5000
C 0.1436 0.2872 0.2500
C 0.1436 0.8564 0.2500
C 0.2872 0.1436 0.7500
C 0.7128 0.8564 0.2500
C 0.8564 0.1436 0.7500
C 0.8564 0.7128 0.7500

Computed properties:
Energy above the lowest structure with this stoichiometry: 2.051 eV per formula unit
Raw total energy: -25.7 eV per formula unit
N(E_F): 0.63 states/eV per atom
Magnetization: 0.00 μB per cell

***

Entry 12:
Compound: AlTcNi2
Source: the Alexandria database
Functional: PBE
Structure: optimized geometry

Cell: 8.3288 8.3288 8.3288 Å, 18.58 18.58 18.58°
Fractional coordinates of all 4 atoms:
Al 0.0000 0.0000 0.0000
Tc 0.2438 0.2438 0.2438
Ni 0.4937 0.4937 0.4937
Ni 0.7455 0.7455 0.7455

Computed properties:
Raw total energy: -26.0 eV per formula unit
N(E_F): 1.39 states/eV per atom
Magnetization: 0.00 μB per cell